DFT (PBE+U) results for a geometry-optimized LiInMo3O8 structure. Values from VASP.

```
&SYSTEM
  ibrav = 0, nat = 13, ntyp = 4
/
ATOMIC_SPECIES
Mo 95.94 Mo.upf
O 16.00 O.upf
Li 6.94 Li.upf
In 114.82 In.upf
CELL_PARAMETERS angstrom
-5.419 2.059 0.742
1.073 -5.707 0.655
0.961 0.748 4.942
ATOMIC_POSITIONS crystal
Mo 0.186 0.814 0.252
Mo 0.627 0.814 0.252
Mo 0.186 0.373 0.252
O 0.500 0.000 0.014
O 0.841 0.159 0.477
O 0.500 0.500 0.014
O 0.000 0.500 0.014
O 0.333 0.667 0.534
O 0.317 0.159 0.477
O 0.000 0.000 0.060
O 0.841 0.683 0.477
Li 0.000 0.000 0.699
In 0.667 0.333 0.730
```

Output
- Symmetry: No. 156
- Electronic total energy: -86.650 eV/cell
- Mass density: 5.9 g cm⁻³